No. 1
# Nd5HgIr2 | the Alexandria database | PBE-GGA | relaxed
# * magnetization: 0.00 μB/f.u.
# * crystal system: tetragonal
# * energy relative to the elements: -54 kJ/mol of atoms
data_Nd5HgIr2
_chemical_formula_sum 'Nd20 Hg4 Ir8'
_space_group_name_H-M_alt 'I 4/m c m'
_space_group_IT_number 140
_space_group_name_Hall '-I 4 2c'
_cell_length_a 8.038
_cell_length_b 8.038
_cell_length_c 13.804
_cell_angle_alpha 90.00
_cell_angle_beta 90.00
_cell_angle_gamma 90.00
loop_
_atom_site_label
_atom_site_type_symbol
_atom_site_fract_x
_atom_site_fract_y
_atom_site_fract_z
Nd1 Nd 0.000 0.000 0.000
Nd2 Nd 0.162 0.338 0.134
Hg1 Hg 0.000 0.000 0.250
Ir1 Ir 0.137 0.363 0.500

No. 2
# Nd6HgIr3 | the Alexandria database | PBE-GGA | relaxed
# * magnetization: 0.00 μB/f.u.
# * crystal system: monoclinic
# * energy relative to the elements: -53 kJ/mol of atoms
data_Nd6HgIr3
_chemical_formula_sum 'Nd12 Hg2 Ir6'
_space_group_name_H-M_alt 'P 1 21/m 1'
_space_group_IT_number 11
_space_group_name_Hall '-P 2yb'
_cell_length_a 12.045
_cell_length_b 4.284
_cell_length_c 12.106
_cell_angle_alpha 90.00
_cell_angle_beta 108.70
_cell_angle_gamma 90.00
loop_
_atom_site_label
_atom_site_type_symbol
_atom_site_fract_x
_atom_site_fract_y
_atom_site_fract_z
Nd1 Nd 0.039 0.250 0.404
Nd2 Nd 0.110 0.250 0.959
Nd3 Nd 0.203 0.750 0.268
Nd4 Nd 0.263 0.750 0.776
Nd5 Nd 0.363 0.250 0.551
Nd6 Nd 0.436 0.750 0.097
Hg1 Hg 0.432 0.250 0.304
Ir1 Ir 0.037 0.250 0.170
Ir2 Ir 0.192 0.750 0.513
Ir3 Ir 0.340 0.250 0.934

No. 3
# Nd8HgIr2 | the Alexandria database | PBE-GGA | relaxed
# * magnetization: 0.00 μB/f.u.
# * crystal system: monoclinic
# * energy relative to the elements: -29 kJ/mol of atoms
data_Nd8HgIr2
_chemical_formula_sum 'Nd16 Hg2 Ir4'
_space_group_name_H-M_alt 'C 1 2/m 1'
_space_group_IT_number 12
_space_group_name_Hall '-C 2y'
_cell_length_a 8.783
_cell_length_b 13.754
_cell_length_c 5.758
_cell_angle_alpha 90.00
_cell_angle_beta 105.16
_cell_angle_gamma 90.00
loop_
_atom_site_label
_atom_site_type_symbol
_atom_site_fract_x
_atom_site_fract_y
_atom_site_fract_z
Nd1 Nd 0.000 0.244 0.000
Nd2 Nd 0.110 0.500 0.806
Nd3 Nd 0.206 0.126 0.568
Hg1 Hg 0.000 0.000 0.000
Ir1 Ir 0.000 0.297 0.500

No. 4
# Nd6Hg3Ir | the Alexandria database | PBE-GGA | relaxed
# * magnetization: 0.00 μB/f.u.
# * crystal system: trigonal
# * energy relative to the elements: -33 kJ/mol of atoms
data_Nd6Hg3Ir
_chemical_formula_sum 'Nd36 Hg18 Ir6'
_space_group_name_H-M_alt 'R -3 c'
_space_group_IT_number 167
_space_group_name_Hall '-R 3 2"c'
_cell_length_a 12.4693
_cell_length_b 12.4693
_cell_length_c 14.0584
_cell_angle_alpha 90.00
_cell_angle_beta 90.00
_cell_angle_gamma 120.00
loop_
_atom_site_label
_atom_site_type_symbol
_atom_site_fract_x
_atom_site_fract_y
_atom_site_fract_z
Nd1 Nd 0.0401 0.1970 0.3818
Hg1 Hg 0.0000 0.3984 0.2500
Ir1 Ir 0.0000 0.0000 0.0000

No. 5
# Nd8Hg2Ir | the Alexandria database | PBE-GGA | relaxed
# * magnetization: 0.00 μB/f.u.
# * crystal system: monoclinic
# * E above lowest polymorph: 0 kJ/mol of formula units
# * energy relative to the elements: -28 kJ/mol of atoms
data_Nd8Hg2Ir
_chemical_formula_sum 'Nd16 Hg4 Ir2'
_space_group_name_H-M_alt 'C 1 2/m 1'
_space_group_IT_number 12
_space_group_name_Hall '-C 2y'
_cell_length_a 18.461
_cell_length_b 5.284
_cell_length_c 7.041
_cell_angle_alpha 90.00
_cell_angle_beta 101.97
_cell_angle_gamma 90.00
loop_
_atom_site_label
_atom_site_type_symbol
_atom_site_fract_x
_atom_site_fract_y
_atom_site_fract_z
Nd1 Nd 0.023 0.000 0.281
Nd2 Nd 0.088 0.500 0.934
Nd3 Nd 0.152 0.500 0.463
Nd4 Nd 0.202 0.000 0.813
Hg1 Hg 0.190 0.000 0.240
Ir1 Ir 0.000 0.500 0.500

No. 6
# Nd5Hg4Ir | the Alexandria database | PBE-GGA | relaxed
# * magnetization: 0.77 μB/f.u.
# * crystal system: tetragonal
# * energy relative to the elements: -48 kJ/mol of atoms
data_Nd5Hg4Ir
_chemical_formula_sum 'Nd5 Hg4 Ir1'
_space_group_name_H-M_alt 'P 4/m m m'
_space_group_IT_number 123
_space_group_name_Hall '-P 4 2'
_cell_length_a 3.733
_cell_length_b 3.733
_cell_length_c 19.410
_cell_angle_alpha 90.00
_cell_angle_beta 90.00
_cell_angle_gamma 90.00
loop_
_atom_site_label
_atom_site_type_symbol
_atom_site_fract_x
_atom_site_fract_y
_atom_site_fract_z
Nd1 Nd 0.000 0.000 0.000
Nd2 Nd 0.000 0.000 0.206
Nd3 Nd 0.000 0.000 0.416
Hg1 Hg 0.500 0.500 0.102
Hg2 Hg 0.500 0.500 0.306
Ir1 Ir 0.500 0.500 0.500

No. 7
# Nd3Hg2Ir | the Alexandria database | PBE-GGA | relaxed
# * magnetization: 0.00 μB/f.u.
# * crystal system: orthorhombic
# * E above lowest polymorph: 30 kJ/mol of formula units
# * energy relative to the elements: -45 kJ/mol of atoms
data_Nd3Hg2Ir
_chemical_formula_sum 'Nd6 Hg4 Ir2'
_space_group_name_H-M_alt 'I m m m'
_space_group_IT_number 71
_space_group_name_Hall '-I 2 2'
_cell_length_a 4.030
_cell_length_b 5.984
_cell_length_c 14.778
_cell_angle_alpha 90.00
_cell_angle_beta 90.00
_cell_angle_gamma 90.00
loop_
_atom_site_label
_atom_site_type_symbol
_atom_site_fract_x
_atom_site_fract_y
_atom_site_fract_z
Nd1 Nd 0.000 0.000 0.000
Nd2 Nd 0.000 0.000 0.367
Hg1 Hg 0.000 0.500 0.309
Ir1 Ir 0.000 0.500 0.000

No. 8
# Nd3Hg2Ir | the Alexandria database | PBE-GGA | relaxed
# * magnetization: 0.00 μB/f.u.
# * crystal system: orthorhombic
# * E above lowest polymorph: 0 kJ/mol of formula units
# * energy relative to the elements: -50 kJ/mol of atoms
data_Nd3Hg2Ir
_chemical_formula_sum 'Nd12 Hg8 Ir4'
_space_group_name_H-M_alt 'C m m m'
_space_group_IT_number 65
_space_group_name_Hall '-C 2 2'
_cell_length_a 5.211
_cell_length_b 15.781
_cell_length_c 7.638
_cell_angle_alpha 90.00
_cell_angle_beta 90.00
_cell_angle_gamma 90.00
loop_
_atom_site_label
_atom_site_type_symbol
_atom_site_fract_x
_atom_site_fract_y
_atom_site_fract_z
Nd1 Nd 0.000 0.000 0.237
Nd2 Nd 0.000 0.325 0.223
Hg1 Hg 0.000 0.166 0.500
Hg2 Hg 0.000 0.500 0.000
Hg3 Hg 0.000 0.500 0.500
Ir1 Ir 0.000 0.152 0.000

No. 9
# Nd5HgIr | the Alexandria database | PBE-GGA | relaxed
# * magnetization: 0.00 μB/f.u.
# * crystal system: monoclinic
# * energy relative to the elements: -26 kJ/mol of atoms
data_Nd5HgIr
_chemical_formula_sum 'Nd20 Hg4 Ir4'
_space_group_name_H-M_alt 'C 1 2/c 1'
_space_group_IT_number 15
_space_group_name_Hall '-C 2yc'
_cell_length_a 9.765
_cell_length_b 7.672
_cell_length_c 11.990
_cell_angle_alpha 90.00
_cell_angle_beta 106.44
_cell_angle_gamma 90.00
loop_
_atom_site_label
_atom_site_type_symbol
_atom_site_fract_x
_atom_site_fract_y
_atom_site_fract_z
Nd1 Nd 0.000 0.015 0.250
Nd2 Nd 0.120 0.332 0.557
Nd3 Nd 0.249 0.328 0.870
Hg1 Hg 0.000 0.420 0.250
Ir1 Ir 0.000 0.000 0.000

No. 10
# Nd8Hg2Ir | the Alexandria database | PBE-GGA | relaxed
# * magnetization: 0.00 μB/f.u.
# * crystal system: monoclinic
# * E above lowest polymorph: 38 kJ/mol of formula units
# * energy relative to the elements: -25 kJ/mol of atoms
data_Nd8Hg2Ir
_chemical_formula_sum 'Nd16 Hg4 Ir2'
_space_group_name_H-M_alt 'C 1 m 1'
_space_group_IT_number 8
_space_group_name_Hall 'C -2y'
_cell_length_a 7.990
_cell_length_b 16.364
_cell_length_c 6.465
_cell_angle_alpha 90.00
_cell_angle_beta 124.24
_cell_angle_gamma 90.00
loop_
_atom_site_label
_atom_site_type_symbol
_atom_site_fract_x
_atom_site_fract_y
_atom_site_fract_z
Nd1 Nd 0.000 0.000 0.000
Nd2 Nd 0.008 0.115 0.491
Nd3 Nd 0.049 0.387 0.858
Nd4 Nd 0.051 0.500 0.384
Nd5 Nd 0.282 0.194 0.157
Hg1 Hg 0.276 0.284 0.667
Ir1 Ir 0.275 0.000 0.870

No. 11
# Nd6HgIr | the Alexandria database | PBE-GGA | relaxed
# * magnetization: 0.00 μB/f.u.
# * crystal system: triclinic
# * energy relative to the elements: -13 kJ/mol of atoms
data_Nd6HgIr
_chemical_formula_sum 'Nd6 Hg1 Ir1'
_space_group_name_H-M_alt 'P -1'
_space_group_IT_number 2
_space_group_name_Hall '-P 1'
_cell_length_a 7.030
_cell_length_b 7.060
_cell_length_c 7.780
_cell_angle_alpha 90.25
_cell_angle_beta 116.49
_cell_angle_gamma 119.85
loop_
_atom_site_label
_atom_site_type_symbol
_atom_site_fract_x
_atom_site_fract_y
_atom_site_fract_z
Nd1 Nd 0.033 0.081 0.254
Nd2 Nd 0.301 0.720 0.253
Nd3 Nd 0.324 0.546 0.747
Hg1 Hg 0.500 0.000 0.000
Ir1 Ir 0.500 0.500 0.500

No. 12
# Nd7Hg2Ir2 | the Alexandria database | PBE-GGA | relaxed
# * magnetization: 0.00 μB/f.u.
# * crystal system: orthorhombic
# * energy relative to the elements: -38 kJ/mol of atoms
data_Nd7Hg2Ir2
_chemical_formula_sum 'Nd14 Hg4 Ir4'
_space_group_name_H-M_alt 'C m m m'
_space_group_IT_number 65
_space_group_name_Hall '-C 2 2'
_cell_length_a 8.316
_cell_length_b 11.232
_cell_length_c 7.348
_cell_angle_alpha 90.00
_cell_angle_beta 90.00
_cell_angle_gamma 90.00
loop_
_atom_site_label
_atom_site_type_symbol
_atom_site_fract_x
_atom_site_fract_y
_atom_site_fract_z
Nd1 Nd 0.000 0.000 0.000
Nd2 Nd 0.000 0.500 0.245
Nd3 Nd 0.250 0.250 0.252
Hg1 Hg 0.179 0.000 0.500
Ir1 Ir 0.000 0.288 0.000